Compound: RbBaNb3
Source: the Alexandria database
Functional: meta-GGA SCAN
Structure: single point on PBEsol structure

Cell: 5.2227 5.2227 5.2227 Å, 90.00 90.00 90.00°
Each line ends with the local moment (μB).
Positions (direct):
Nb  0.5000  0.0000  0.0000  0.20
Nb  0.0000  0.0000  0.5000  0.20
Nb  0.0000  0.5000  0.0000  0.20
Ba  0.0000  0.0000  0.0000  -0.01
Rb  0.5000  0.5000  0.5000  0.02

- Symmetry: Pm-3m
- E_form: 2.639 eV/atom



Compound: LiCa2AlN
Source: the Alexandria database
Functional: meta-GGA SCAN
Structure: single point on PBEsol structure

Cell: 4.2261 4.8437 4.8437 Å, 90.00 90.00 90.00°
Positions (direct):
Al  0.5000  0.5000  0.5000
Ca  0.0000  0.5000  0.0000
Ca  0.0000  0.0000  0.5000
N  0.0000  0.0000  0.0000
Li  0.5000  0.0000  0.0000

- Formation energy (no corrections): -1.80 eV per formula unit
- Symmetry: P4/mmm



Compound: Hg2Se
Source: the Alexandria database
Functional: meta-GGA SCAN
Structure: single point on PBEsol structure

Cell: 3.6445 4.7486 4.7486 Å, 120.00 90.00 90.00°
Each line ends with the local moment (μB).
Positions (direct):
Hg  0.5000  0.6667  0.3333  0.04
Hg  0.5000  0.3333  0.6667  0.04
Se  0.0000  0.0000  0.0000  0.31

- Formation energy (no corrections): 1.02 eV per formula unit
- Symmetry: P6/mmm